(1)
Entry from Alexandria via LeMat-Bulk: crystalline La3Tb2Sm8 at its relaxed geometry (PBE).

Unit cell a=20.5697 b=7.7680 c=5.7655 alpha=90.00 beta=90.16 gamma=90.00
Space group C2/m (No. 12)
One atom of each set of equivalent atoms:
La (0.0000, 0.0000, 0.0000) [2 per cell]
La (0.0000, 0.2953, 0.5000) [4 per cell]
Tb (0.2416, 0.0000, 0.9949) [4 per cell]
Sm (0.1089, 0.2914, 0.0006) [8 per cell]
Sm (0.1366, 0.0000, 0.4974) [4 per cell]
Sm (0.1748, 0.5000, 0.5039) [4 per cell]

## Properties
E_tot (eV/atom): -4.527
Excess energy over the best structure of this formula in the dataset (meV/atom): 64

---

(2)
Entry from Alexandria via LeMat-Bulk: crystalline Tl2PdS at its relaxed geometry (PBE).

Unit cell a=7.1841 b=7.1841 c=7.1841 alpha=90.00 beta=90.00 gamma=90.00
Space group Fm-3m (No. 225)
One atom of each set of equivalent atoms:
Tl (0.2500, 0.2500, 0.2500) [8 per cell]
Pd (0.0000, 0.0000, 0.0000) [4 per cell]
S (0.0000, 0.0000, 0.5000) [4 per cell]

## Properties
E_tot (eV/atom): -3.372
Uncorrected formation energy (eV per atom): 0.141
Excess energy over the best structure of this formula in the dataset (meV/atom): 158

---

What is the excess energy over the best structure of this formula in the dataset in the second record?
158 meV/atom

---

The lowest E_tot belongs to which entry?
La3Tb2Sm8

---

Repeat the second record exactly.
Entry from Alexandria via LeMat-Bulk: crystalline Tl2PdS at its relaxed geometry (PBE).

Unit cell a=7.1841 b=7.1841 c=7.1841 alpha=90.00 beta=90.00 gamma=90.00
Space group Fm-3m (No. 225)
One atom of each set of equivalent atoms:
Tl (0.2500, 0.2500, 0.2500) [8 per cell]
Pd (0.0000, 0.0000, 0.0000) [4 per cell]
S (0.0000, 0.0000, 0.5000) [4 per cell]

## Properties
E_tot (eV/atom): -3.372
Uncorrected formation energy (eV per atom): 0.141
Excess energy over the best structure of this formula in the dataset (meV/atom): 158